! Sc2GaBiCl GGA-PBE relaxed; values from VASP
! ΔE_f (raw) in eV per formula unit: 0.30
! Calculated total energy in eV for the cell shown: -21.1
! Magnetic moment in μB/atom: 0.119
! Symmetry: P4/mmm (123)
&SYSTEM
  ibrav = 0, nat = 5, ntyp = 4
/
ATOMIC_SPECIES
Sc 44.96 Sc.upf
Ga 69.72 Ga.upf
Bi 208.98 Bi.upf
Cl 35.45 Cl.upf
ATOMIC_POSITIONS crystal
Sc 0.000 0.500 0.000
Sc 0.500 0.000 0.000
Ga 0.000 0.000 0.000
Bi 0.000 0.000 0.500
Cl 0.500 0.500 0.500
CELL_PARAMETERS angstrom
5.321 0.000 0.000
0.000 5.321 0.000
0.000 0.000 5.185

! GaSnBiCl GGA-PBE relaxed; values from VASP
! ΔE_f (raw) in eV per formula unit: -0.67
! Calculated total energy in eV for the cell shown: -13.4
! Magnetic moment in μB/atom: 0.000
! Symmetry: F-43m (216)
&SYSTEM
  ibrav = 0, nat = 4, ntyp = 4
/
ATOMIC_SPECIES
Ga 69.72 Ga.upf
Sn 118.71 Sn.upf
Bi 208.98 Bi.upf
Cl 35.45 Cl.upf
ATOMIC_POSITIONS crystal
Ga 0.000 0.000 0.000
Sn 0.500 0.500 0.500
Bi 0.750 0.750 0.750
Cl 0.250 0.250 0.250
CELL_PARAMETERS angstrom
0.000 3.746 3.746
3.746 0.000 3.746
3.746 3.746 0.000

! Tl2GaBiCl6 GGA-PBE relaxed; values from VASP
! ΔE_f (raw) in eV per formula unit: -9.76
! Calculated total energy in eV for the cell shown: -65.0
! Magnetic moment in μB/atom: 0.000
! Symmetry: P2_1/c (14)
&SYSTEM
  ibrav = 0, nat = 20, ntyp = 4
/
ATOMIC_SPECIES
Tl 204.38 Tl.upf
Ga 69.72 Ga.upf
Bi 208.98 Bi.upf
Cl 35.45 Cl.upf
ATOMIC_POSITIONS crystal
Tl 0.220 0.074 0.247
Tl 0.220 0.426 0.747
Tl 0.780 0.574 0.253
Tl 0.780 0.926 0.753
Ga 0.000 0.000 0.500
Ga 0.000 0.500 0.000
Bi 0.500 0.000 0.000
Bi 0.500 0.500 0.500
Cl 0.150 0.185 0.950
Cl 0.150 0.315 0.450
Cl 0.262 0.712 0.942
Cl 0.262 0.788 0.442
Cl 0.371 0.037 0.760
Cl 0.371 0.463 0.260
Cl 0.629 0.537 0.740
Cl 0.629 0.963 0.240
Cl 0.738 0.212 0.558
Cl 0.738 0.288 0.058
Cl 0.850 0.685 0.550
Cl 0.850 0.815 0.050
CELL_PARAMETERS angstrom
7.445 0.000 0.000
0.000 8.006 0.000
-7.276 0.000 10.867

! TlGaBi2Cl GGA-PBE relaxed; values from VASP
! ΔE_f (raw) in eV per formula unit: 0.35
! Calculated total energy in eV for the cell shown: -14.7
! Magnetic moment in μB/atom: 0.000
! Symmetry: P4/mmm (123)
&SYSTEM
  ibrav = 0, nat = 5, ntyp = 4
/
ATOMIC_SPECIES
Tl 204.38 Tl.upf
Ga 69.72 Ga.upf
Bi 208.98 Bi.upf
Cl 35.45 Cl.upf
ATOMIC_POSITIONS crystal
Tl 0.000 0.000 0.000
Ga 0.500 0.500 0.500
Bi 0.000 0.500 0.500
Bi 0.500 0.000 0.500
Cl 0.500 0.500 0.000
CELL_PARAMETERS angstrom
5.563 0.000 0.000
0.000 5.563 0.000
0.000 0.000 5.218